# CoSiW2 PBE optimized geometry
data_CoSiW2
_cell_length_a 5.190
_cell_length_b 7.604
_cell_length_c 2.809
_cell_angle_alpha 90.00
_cell_angle_beta 90.00
_cell_angle_gamma 90.00
_symmetry_space_group_name_H-M 'C m m m'
_symmetry_Int_Tables_number 65
_symmetry_space_group_name_Hall '-C 2 2'
loop_
_atom_site_label
_atom_site_fract_x
_atom_site_fract_y
_atom_site_fract_z
Co1 0.000 0.000 0.000
Si1 0.000 0.500 0.000
W1 0.250 0.250 0.500
# D(E_F) ... 2.952 states/eV/f.u.
# E_form (uncorrected) ... 0.0976 eV per atom
# Total energy ... -76.09 eV per cell

***

# Y3SiSe2 PBE optimized geometry
data_Y3SiSe2
_cell_length_a 4.116
_cell_length_b 5.795
_cell_length_c 12.377
_cell_angle_alpha 90.00
_cell_angle_beta 90.00
_cell_angle_gamma 90.00
_symmetry_space_group_name_H-M 'I m m m'
_symmetry_Int_Tables_number 71
_symmetry_space_group_name_Hall '-I 2 2'
loop_
_atom_site_label
_atom_site_fract_x
_atom_site_fract_y
_atom_site_fract_z
Y1 0.000 0.000 0.000
Y2 0.000 0.000 0.343
Si1 0.000 0.500 0.000
Se1 0.000 0.500 0.331
# D(E_F) ... 1.965 states/eV/f.u.
# E_form (uncorrected) ... -1.5392 eV per atom
# Total energy ... -82.04 eV per cell

***

# MnSnMoP PBE optimized geometry
data_MnSnMoP
_cell_length_a 5.484
_cell_length_b 3.177
_cell_length_c 7.591
_cell_angle_alpha 90.00
_cell_angle_beta 103.89
_cell_angle_gamma 90.00
_symmetry_space_group_name_H-M 'C 1 m 1'
_symmetry_Int_Tables_number 8
_symmetry_space_group_name_Hall 'C -2y'
loop_
_atom_site_label
_atom_site_fract_x
_atom_site_fract_y
_atom_site_fract_z
Mn1 0.000 0.000 0.000
Sn1 0.071 0.500 0.711
Mo1 0.134 0.000 0.404
P1 0.397 0.000 0.189
# D(E_F) ... 3.532 states/eV/f.u.
# E above lowest polymorph ... 0.212 eV/f.u.
# Energy relative to the elements ... -0.158 eV per atom
# Total energy ... -60.09 eV per cell

***

# K2BaMgH PBE optimized geometry
data_K2BaMgH
_cell_length_a 5.699
_cell_length_b 5.699
_cell_length_c 5.799
_cell_angle_alpha 90.00
_cell_angle_beta 90.00
_cell_angle_gamma 90.00
_symmetry_space_group_name_H-M 'P 4/m m m'
_symmetry_Int_Tables_number 123
_symmetry_space_group_name_Hall '-P 4 2'
loop_
_atom_site_label
_atom_site_fract_x
_atom_site_fract_y
_atom_site_fract_z
K1 0.000 0.500 0.000
Ba1 0.000 0.000 0.500
Mg1 0.500 0.500 0.500
H1 0.000 0.000 0.000
# D(E_F) ... 2.322 states/eV/f.u.
# Total energy ... -9.07 eV per cell

***

# Nb4VS8 PBE optimized geometry
data_Nb4VS8
_cell_length_a 6.7637
_cell_length_b 6.7637
_cell_length_c 18.2336
_cell_angle_alpha 90.00
_cell_angle_beta 90.00
_cell_angle_gamma 120.00
_symmetry_space_group_name_H-M 'R -3 m'
_symmetry_Int_Tables_number 166
_symmetry_space_group_name_Hall '-R 3 2"'
loop_
_atom_site_label
_atom_site_fract_x
_atom_site_fract_y
_atom_site_fract_z
Nb1 0.0000 0.0000 0.0000
Nb2 0.0000 0.5000 0.0000
V1 0.0000 0.0000 0.5000
S1 0.0000 0.0000 0.2487
S2 0.0035 0.5018 0.7536
# D(E_F) ... 7.273 states/eV/f.u.
# E above lowest polymorph ... 2.823 eV/f.u.
# E_form (uncorrected) ... -0.9346 eV per atom
# Total energy ... -283.70 eV per cell

***

# Ce5GaHgOs2 PBE optimized geometry
data_Ce5GaHgOs2
_cell_length_a 7.763
_cell_length_b 7.763
_cell_length_c 14.907
_cell_angle_alpha 90.00
_cell_angle_beta 90.00
_cell_angle_gamma 90.00
_symmetry_space_group_name_H-M 'I 4/m c m'
_symmetry_Int_Tables_number 140
_symmetry_space_group_name_Hall '-I 4 2c'
loop_
_atom_site_label
_atom_site_fract_x
_atom_site_fract_y
_atom_site_fract_z
Ce1 0.000 0.000 0.000
Ce2 0.206 0.294 0.124
Ga1 0.000 0.500 0.250
Hg1 0.000 0.000 0.250
Os1 0.120 0.380 0.500
# D(E_F) ... 20.777 states/eV/f.u.
# Energy relative to the elements ... -0.201 eV per atom
# Total energy ... -229.08 eV per cell

***

# Hf2HO PBE optimized geometry
data_Hf2HO
_cell_length_a 5.826
_cell_length_b 5.826
_cell_length_c 5.826
_cell_angle_alpha 90.00
_cell_angle_beta 90.00
_cell_angle_gamma 90.00
_symmetry_space_group_name_H-M 'F m -3 m'
_symmetry_Int_Tables_number 225
_symmetry_space_group_name_Hall '-F 4 2 3'
loop_
_atom_site_label
_atom_site_fract_x
_atom_site_fract_y
_atom_site_fract_z
Hf1 0.250 0.250 0.250
H1 0.000 0.000 0.000
O1 0.000 0.000 0.500
# D(E_F) ... 3.390 states/eV/f.u.
# E above lowest polymorph ... 3.719 eV/f.u.
# Total energy ... -118.88 eV per cell

***

# MgCd2P PBE optimized geometry
data_MgCd2P
_cell_length_a 3.155
_cell_length_b 3.155
_cell_length_c 8.377
_cell_angle_alpha 90.00
_cell_angle_beta 90.00
_cell_angle_gamma 90.00
_symmetry_space_group_name_H-M 'P 4/m m m'
_symmetry_Int_Tables_number 123
_symmetry_space_group_name_Hall '-P 4 2'
loop_
_atom_site_label
_atom_site_fract_x
_atom_site_fract_y
_atom_site_fract_z
Mg1 0.000 0.000 0.000
Cd1 0.500 0.500 0.265
P1 0.000 0.000 0.500
# D(E_F) ... 2.172 states/eV/f.u.
# Energy relative to the elements ... 0.201 eV per atom
# Total energy ... -8.03 eV per cell

***

# Pr3Mg2Ga3 PBE optimized geometry
data_Pr3Mg2Ga3
_cell_length_a 8.9110
_cell_length_b 8.9110
_cell_length_c 6.0973
_cell_angle_alpha 90.00
_cell_angle_beta 90.00
_cell_angle_gamma 120.00
_symmetry_space_group_name_H-M 'P 63/m c m'
_symmetry_Int_Tables_number 193
_symmetry_space_group_name_Hall '-P 6c 2'
loop_
_atom_site_label
_atom_site_fract_x
_atom_site_fract_y
_atom_site_fract_z
Pr1 0.0000 0.2892 0.2500
Mg1 0.3333 0.6667 0.0000
Ga1 0.0000 0.3730 0.7500
# D(E_F) ... 7.639 states/eV/f.u.
# Energy relative to the elements ... -0.397 eV per atom
# Total energy ... -59.57 eV per cell

***

# MgHPd3 PBE optimized geometry
data_MgHPd3
_cell_length_a 4.965
_cell_length_b 5.681
_cell_length_c 4.965
_cell_angle_alpha 90.00
_cell_angle_beta 109.98
_cell_angle_gamma 90.00
_symmetry_space_group_name_H-M 'P 1 21/m 1'
_symmetry_Int_Tables_number 11
_symmetry_space_group_name_Hall '-P 2yb'
loop_
_atom_site_label
_atom_site_fract_x
_atom_site_fract_y
_atom_site_fract_z
Mg1 0.240 0.250 0.260
H1 0.468 0.750 0.030
Pd1 0.242 0.750 0.258
Pd2 0.252 0.000 0.752
# D(E_F) ... 1.698 states/eV/f.u.
# E above lowest polymorph ... 0.275 eV/f.u.
# Total energy ... -45.16 eV per cell

***

# Na2CeHg6 PBE optimized geometry
data_Na2CeHg6
_cell_length_a 8.8932
_cell_length_b 8.8932
_cell_length_c 3.3294
_cell_angle_alpha 90.00
_cell_angle_beta 90.00
_cell_angle_gamma 120.00
_symmetry_space_group_name_H-M 'P 6/m m m'
_symmetry_Int_Tables_number 191
_symmetry_space_group_name_Hall '-P 6 2'
loop_
_atom_site_label
_atom_site_fract_x
_atom_site_fract_y
_atom_site_fract_z
Na1 0.3333 0.6667 0.0000
Ce1 0.0000 0.0000 0.0000
Hg1 0.0000 0.3366 0.5000
# D(E_F) ... 9.439 states/eV/f.u.
# Energy relative to the elements ... -0.253 eV per atom
# Total energy ... -12.66 eV per cell

***

# ZnAg2Os PBE optimized geometry
data_ZnAg2Os
_cell_length_a 3.856
_cell_length_b 3.856
_cell_length_c 4.262
_cell_angle_alpha 90.00
_cell_angle_beta 90.00
_cell_angle_gamma 90.00
_symmetry_space_group_name_H-M 'P 4/m m m'
_symmetry_Int_Tables_number 123
_symmetry_space_group_name_Hall '-P 4 2'
loop_
_atom_site_label
_atom_site_fract_x
_atom_site_fract_y
_atom_site_fract_z
Zn1 0.000 0.000 0.000
Ag1 0.000 0.500 0.500
Os1 0.500 0.500 0.000
# D(E_F) ... 2.350 states/eV/f.u.
# Energy relative to the elements ... 0.516 eV per atom
# Total energy ... -16.14 eV per cell

***

# LiOsRh2 PBE optimized geometry
data_LiOsRh2
_cell_length_a 2.709
_cell_length_b 3.757
_cell_length_c 5.345
_cell_angle_alpha 90.00
_cell_angle_beta 90.09
_cell_angle_gamma 90.00
_symmetry_space_group_name_H-M 'P 1 2/m 1'
_symmetry_Int_Tables_number 10
_symmetry_space_group_name_Hall '-P 2y'
loop_
_atom_site_label
_atom_site_fract_x
_atom_site_fract_y
_atom_site_fract_z
Li1 0.000 0.000 0.000
Os1 0.000 0.000 0.500
Rh1 0.499 0.500 0.248
# D(E_F) ... 3.747 states/eV/f.u.
# E above lowest polymorph ... 0.138 eV/f.u.
# Energy relative to the elements ... 0.021 eV per atom
# Total energy ... -27.76 eV per cell

***

# K2TiAl2O6 PBE optimized geometry
data_K2TiAl2O6
_cell_length_a 5.7001
_cell_length_b 5.7001
_cell_length_c 17.4148
_cell_angle_alpha 90.00
_cell_angle_beta 90.00
_cell_angle_gamma 120.00
_symmetry_space_group_name_H-M 'R -3 m'
_symmetry_Int_Tables_number 166
_symmetry_space_group_name_Hall '-R 3 2"'
loop_
_atom_site_label
_atom_site_fract_x
_atom_site_fract_y
_atom_site_fract_z
K1 0.0000 0.0000 0.2013
Ti1 0.0000 0.0000 0.0000
Al1 0.0000 0.0000 0.3975
O1 0.0115 0.5058 0.7354
# D(E_F) ... 0.000 states/eV/f.u.
# E_form (uncorrected) ... -2.4219 eV per atom
# Total energy ... -221.90 eV per cell

***

# LiCa2Cr PBE optimized geometry
data_LiCa2Cr
_cell_length_a 3.720
_cell_length_b 3.720
_cell_length_c 8.318
_cell_angle_alpha 90.00
_cell_angle_beta 90.00
_cell_angle_gamma 90.00
_symmetry_space_group_name_H-M 'P 4 m m'
_symmetry_Int_Tables_number 99
_symmetry_space_group_name_Hall 'P 4 -2'
loop_
_atom_site_label
_atom_site_fract_x
_atom_site_fract_y
_atom_site_fract_z
Li1 0.000 0.000 0.000
Ca1 0.000 0.000 0.609
Ca2 0.500 0.500 0.256
Cr1 0.500 0.500 0.854
# D(E_F) ... 3.344 states/eV/f.u.
# Energy relative to the elements ... 0.381 eV per atom
# Total energy ... -14.01 eV per cell

***

# ZrPAu2 PBE optimized geometry
data_ZrPAu2
_cell_length_a 7.553
_cell_length_b 7.553
_cell_length_c 5.340
_cell_angle_alpha 90.00
_cell_angle_beta 90.00
_cell_angle_gamma 90.00
_symmetry_space_group_name_H-M 'I -4 2 d'
_symmetry_Int_Tables_number 122
_symmetry_space_group_name_Hall 'I -4 2bw'
loop_
_atom_site_label
_atom_site_fract_x
_atom_site_fract_y
_atom_site_fract_z
Zr1 0.000 0.000 0.000
P1 0.000 0.000 0.500
Au1 0.209 0.250 0.625
# D(E_F) ... 3.283 states/eV/f.u.
# Energy relative to the elements ... -0.335 eV per atom
# Total energy ... -87.40 eV per cell

***

# LiPmGaGe2 PBE optimized geometry
data_LiPmGaGe2
_cell_length_a 4.128
_cell_length_b 4.128
_cell_length_c 11.620
_cell_angle_alpha 90.00
_cell_angle_beta 90.00
_cell_angle_gamma 90.00
_symmetry_space_group_name_H-M 'I -4 m 2'
_symmetry_Int_Tables_number 119
_symmetry_space_group_name_Hall 'I -4 -2'
loop_
_atom_site_label
_atom_site_fract_x
_atom_site_fract_y
_atom_site_fract_z
Li1 0.000 0.000 0.000
Pm1 0.000 0.500 0.750
Ga1 0.000 0.000 0.500
Ge1 0.000 0.500 0.140
# D(E_F) ... 1.768 states/eV/f.u.
# Energy relative to the elements ... -0.526 eV per atom
# Total energy ... -43.11 eV per cell

***

# TcOs PBE optimized geometry
data_TcOs
_cell_length_a 2.749
_cell_length_b 10.015
_cell_length_c 4.277
_cell_angle_alpha 90.00
_cell_angle_beta 90.00
_cell_angle_gamma 90.00
_symmetry_space_group_name_H-M 'C m c m'
_symmetry_Int_Tables_number 63
_symmetry_space_group_name_Hall '-C 2c 2'
loop_
_atom_site_label
_atom_site_fract_x
_atom_site_fract_y
_atom_site_fract_z
Tc1 0.000 0.169 0.250
Os1 0.000 0.433 0.250
# D(E_F) ... 1.774 states/eV/f.u.
# E above lowest polymorph ... 0.349 eV/f.u.
# Energy relative to the elements ... 0.089 eV per atom
# Total energy ... -85.67 eV per cell

***

# GaFeTcSn2 PBE optimized geometry
data_GaFeTcSn2
_cell_length_a 5.070
_cell_length_b 5.070
_cell_length_c 4.772
_cell_angle_alpha 90.00
_cell_angle_beta 90.00
_cell_angle_gamma 90.00
_symmetry_space_group_name_H-M 'P 4/m m m'
_symmetry_Int_Tables_number 123
_symmetry_space_group_name_Hall '-P 4 2'
loop_
_atom_site_label
_atom_site_fract_x
_atom_site_fract_y
_atom_site_fract_z
Ga1 0.000 0.000 0.000
Fe1 0.500 0.500 0.000
Tc1 0.000 0.000 0.500
Sn1 0.000 0.500 0.500
# D(E_F) ... 5.057 states/eV/f.u.
# Energy relative to the elements ... 0.711 eV per atom
# Total energy ... -26.31 eV per cell